[1]
Computed, not measured: a relaxed structure of Tb2HfMg at the PBE level of DFT.

Cell and atoms, written as CIF:
```
data_Tb2HfMg
_chemical_formula_sum 'Tb6 Hf3 Mg3'
_symmetry_space_group_name_H-M 'R -3 m'
_symmetry_Int_Tables_number 166
_symmetry_space_group_name_Hall '-R 3 2"'
_cell_length_a 3.2082
_cell_length_b 3.2082
_cell_length_c 36.6190
_cell_angle_alpha 90.00
_cell_angle_beta 90.00
_cell_angle_gamma 120.00
loop_
_atom_site_label
_atom_site_type_symbol
_atom_site_fract_x
_atom_site_fract_y
_atom_site_fract_z
_atom_site_occupancy
Tb1 Tb 0.0000 0.0000 0.0869 1
Hf1 Hf 0.0000 0.0000 0.0000 1
Mg1 Mg 0.0000 0.0000 0.5000 1
```

Summary:
DOS(E_F), states/eV/cell: 17.09
Polymorph energy (0 for the lowest one), eV/f.u.: 1.41
Crystal system: trigonal
E_form, eV per atom: 0.374
E, eV for the cell shown: -57.9

***

[2]
Computed, not measured: a relaxed structure of TbHfMgTc at the PBE level of DFT.

Cell and atoms, written as CIF:
```
data_TbHfMgTc
_chemical_formula_sum 'Tb4 Hf4 Mg4 Tc4'
_symmetry_space_group_name_H-M 'F -4 3 m'
_symmetry_Int_Tables_number 216
_symmetry_space_group_name_Hall 'F -4 2 3'
_cell_length_a 6.915
_cell_length_b 6.915
_cell_length_c 6.915
_cell_angle_alpha 90.00
_cell_angle_beta 90.00
_cell_angle_gamma 90.00
loop_
_atom_site_label
_atom_site_type_symbol
_atom_site_fract_x
_atom_site_fract_y
_atom_site_fract_z
_atom_site_occupancy
Tb1 Tb 0.000 0.000 0.000 1
Hf1 Hf 0.000 0.000 0.500 1
Mg1 Mg 0.250 0.250 0.750 1
Tc1 Tc 0.250 0.250 0.250 1
```

Summary:
DOS(E_F), states/eV/cell: 13.76
Crystal system: cubic
E_form, eV per atom: -0.026
E, eV for the cell shown: -106.6

***

[3]
Computed, not measured: a relaxed structure of TbHfThMg at the PBE level of DFT.

Cell and atoms, written as CIF:
```
data_TbHfThMg
_chemical_formula_sum 'Tb4 Hf4 Th4 Mg4'
_symmetry_space_group_name_H-M 'F -4 3 m'
_symmetry_Int_Tables_number 216
_symmetry_space_group_name_Hall 'F -4 2 3'
_cell_length_a 7.556
_cell_length_b 7.556
_cell_length_c 7.556
_cell_angle_alpha 90.00
_cell_angle_beta 90.00
_cell_angle_gamma 90.00
loop_
_atom_site_label
_atom_site_type_symbol
_atom_site_fract_x
_atom_site_fract_y
_atom_site_fract_z
_atom_site_occupancy
Tb1 Tb 0.000 0.000 0.000 1
Hf1 Hf 0.250 0.250 0.250 1
Th1 Th 0.000 0.000 0.500 1
Mg1 Mg 0.250 0.250 0.750 1
```

Summary:
DOS(E_F), states/eV/cell: 30.22
Crystal system: cubic
E_form, eV per atom: 0.145
E, eV for the cell shown: -92.1

***

[4]
Computed, not measured: a relaxed structure of HfMgTc3 at the PBE level of DFT.

Cell and atoms, written as CIF:
```
data_HfMgTc3
_chemical_formula_sum 'Hf1 Mg1 Tc3'
_symmetry_space_group_name_H-M 'P m -3 m'
_symmetry_Int_Tables_number 221
_symmetry_space_group_name_Hall '-P 4 2 3'
_cell_length_a 4.503
_cell_length_b 4.503
_cell_length_c 4.503
_cell_angle_alpha 90.00
_cell_angle_beta 90.00
_cell_angle_gamma 90.00
loop_
_atom_site_label
_atom_site_type_symbol
_atom_site_fract_x
_atom_site_fract_y
_atom_site_fract_z
_atom_site_occupancy
Hf1 Hf 0.000 0.000 0.000 1
Mg1 Mg 0.500 0.500 0.500 1
Tc1 Tc 0.000 0.500 0.500 1
```

Summary:
DOS(E_F), states/eV/cell: 8.54
Polymorph energy (0 for the lowest one), eV/f.u.: 0.00
Crystal system: cubic
E_form, eV per atom: 1.481
E, eV for the cell shown: -35.2

***

[5]
Computed, not measured: a relaxed structure of Hf2MgTc2 at the PBE level of DFT.

Cell and atoms, written as CIF:
```
data_Hf2MgTc2
_chemical_formula_sum 'Hf4 Mg2 Tc4'
_symmetry_space_group_name_H-M 'P 4/m b m'
_symmetry_Int_Tables_number 127
_symmetry_space_group_name_Hall '-P 4 2ab'
_cell_length_a 7.716
_cell_length_b 7.716
_cell_length_c 3.182
_cell_angle_alpha 90.00
_cell_angle_beta 90.00
_cell_angle_gamma 90.00
loop_
_atom_site_label
_atom_site_type_symbol
_atom_site_fract_x
_atom_site_fract_y
_atom_site_fract_z
_atom_site_occupancy
Hf1 Hf 0.141 0.359 0.000 1
Mg1 Mg 0.000 0.000 0.000 1
Tc1 Tc 0.156 0.656 0.500 1
```

Summary:
DOS(E_F), states/eV/cell: 7.35
Polymorph energy (0 for the lowest one), eV/f.u.: 0.79
Crystal system: tetragonal
E_form, eV per atom: 0.068
E, eV for the cell shown: -83.8

***

[6]
Computed, not measured: a relaxed structure of Hf6MgTc5 at the PBE level of DFT.

Cell and atoms, written as CIF:
```
data_Hf6MgTc5
_chemical_formula_sum 'Hf12 Mg2 Tc10'
_symmetry_space_group_name_H-M 'I m m m'
_symmetry_Int_Tables_number 71
_symmetry_space_group_name_Hall '-I 2 2'
_cell_length_a 4.643
_cell_length_b 6.639
_cell_length_c 13.889
_cell_angle_alpha 90.00
_cell_angle_beta 90.00
_cell_angle_gamma 90.00
loop_
_atom_site_label
_atom_site_type_symbol
_atom_site_fract_x
_atom_site_fract_y
_atom_site_fract_z
_atom_site_occupancy
Hf1 Hf 0.000 0.233 0.000 1
Hf2 Hf 0.000 0.258 0.328 1
Mg1 Mg 0.000 0.000 0.500 1
Tc1 Tc 0.000 0.000 0.168 1
Tc2 Tc 0.000 0.500 0.162 1
Tc3 Tc 0.000 0.500 0.500 1
```

Summary:
DOS(E_F), states/eV/cell: 17.07
Crystal system: orthorhombic
E_form, eV per atom: -0.406
E, eV for the cell shown: -236.0

***

[7]
Computed, not measured: a relaxed structure of Hf2MgTc2 at the PBE level of DFT.

Cell and atoms, written as CIF:
```
data_Hf2MgTc2
_chemical_formula_sum 'Hf4 Mg2 Tc4'
_symmetry_space_group_name_H-M 'I 4/m m m'
_symmetry_Int_Tables_number 139
_symmetry_space_group_name_Hall '-I 4 2'
_cell_length_a 3.715
_cell_length_b 3.715
_cell_length_c 14.905
_cell_angle_alpha 90.00
_cell_angle_beta 90.00
_cell_angle_gamma 90.00
loop_
_atom_site_label
_atom_site_type_symbol
_atom_site_fract_x
_atom_site_fract_y
_atom_site_fract_z
_atom_site_occupancy
Hf1 Hf 0.000 0.000 0.111 1
Mg1 Mg 0.000 0.000 0.500 1
Tc1 Tc 0.000 0.500 0.250 1
```

Summary:
DOS(E_F), states/eV/cell: 17.71
Polymorph energy (0 for the lowest one), eV/f.u.: 2.36
Crystal system: tetragonal
E_form, eV per atom: 0.381
E, eV for the cell shown: -80.7

***

[8]
Computed, not measured: a relaxed structure of HfMgTc at the PBE level of DFT.

Cell and atoms, written as CIF:
```
data_HfMgTc
_chemical_formula_sum 'Hf2 Mg2 Tc2'
_symmetry_space_group_name_H-M 'P 4/n m m'
_symmetry_Int_Tables_number 129
_cell_length_a 5.130
_cell_length_b 5.130
_cell_length_c 5.327
_cell_angle_alpha 90.00
_cell_angle_beta 90.00
_cell_angle_gamma 90.00
loop_
_symmetry_equiv_pos_as_xyz
'x,y,z'
'-x,-y,-z'
'-y+1/2,x,z'
'y+1/2,-x,-z'
'-x+1/2,-y+1/2,z'
'x+1/2,y+1/2,-z'
'y,-x+1/2,z'
'-y,x+1/2,-z'
'x+1/2,-y,-z'
'-x+1/2,y,z'
'-y,-x,-z'
'y,x,z'
'-x,y+1/2,-z'
'x,-y+1/2,z'
'y+1/2,x+1/2,-z'
'-y+1/2,-x+1/2,z'
loop_
_atom_site_label
_atom_site_type_symbol
_atom_site_fract_x
_atom_site_fract_y
_atom_site_fract_z
_atom_site_occupancy
Hf1 Hf 0.250 0.250 0.054 1
Mg1 Mg 0.250 0.750 0.500 1
Tc1 Tc 0.250 0.750 0.000 1
```

Summary:
DOS(E_F), states/eV/cell: 4.90
Crystal system: tetragonal
E_form, eV per atom: 0.467
E, eV for the cell shown: -41.0